[1]
Compound: HfCu2Au6
Source: the Alexandria database
Functional: PBE
Structure: relaxed

Structure (POSCAR):
```
HfCu2Au6
1.0
4.562 -2.015 0.000
4.562 2.015 0.000
-2.550 0.000 8.399
Hf Cu Au
1 2 6
Direct
0.000 0.000 0.000 Hf
0.335 0.335 0.772 Cu
0.665 0.665 0.228 Cu
0.005 0.005 0.324 Au
0.332 0.332 0.441 Au
0.333 0.333 0.107 Au
0.667 0.667 0.893 Au
0.668 0.668 0.559 Au
0.995 0.995 0.676 Au
```

## Properties
Space group: No. 12
Crystal system: monoclinic
Energy of formation from the pure elements, eV per atom: -0.159

---

[2]
Compound: HfCu4Au
Source: the Alexandria database
Functional: PBE
Structure: relaxed

Structure (POSCAR):
```
HfCu4Au
1.0
0.000 3.481 3.481
3.481 0.000 3.481
3.481 3.481 0.000
Hf Cu Au
1 4 1
Direct
0.000 0.000 0.000 Hf
0.375 0.375 0.375 Cu
0.375 0.375 0.875 Cu
0.375 0.875 0.375 Cu
0.875 0.375 0.375 Cu
0.750 0.750 0.750 Au
```

## Properties
Space group: No. 216
Crystal system: cubic
Energy of formation from the pure elements, eV per atom: -0.258

---

[3]
Compound: HfCu8Au3
Source: the Alexandria database
Functional: PBE
Structure: relaxed

Structure (POSCAR):
```
HfCu8Au3
1.0
2.454 1.417 8.116
-2.454 1.417 8.116
0.000 -2.834 8.116
Hf Cu Au
1 8 3
Direct
0.000 0.000 0.000 Hf
0.065 0.065 0.565 Cu
0.065 0.565 0.065 Cu
0.066 0.565 0.565 Cu
0.315 0.315 0.315 Cu
0.565 0.065 0.065 Cu
0.565 0.066 0.565 Cu
0.565 0.565 0.066 Cu
0.815 0.815 0.815 Cu
0.123 0.123 0.123 Au
0.504 0.504 0.504 Au
0.629 0.629 0.629 Au
```

## Properties
Space group: No. 160
Crystal system: trigonal
Energy of formation from the pure elements, eV per atom: -0.104

---

[4]
Compound: HfCu9Au2
Source: the Alexandria database
Functional: PBE
Structure: relaxed

Structure (POSCAR):
```
HfCu9Au2
1.0
2.453 1.416 7.975
-2.453 1.416 7.975
0.000 -2.832 7.975
Hf Cu Au
1 9 2
Direct
0.000 0.000 0.000 Hf
0.081 0.585 0.585 Cu
0.334 0.334 0.334 Cu
0.415 0.415 0.919 Cu
0.415 0.919 0.415 Cu
0.500 0.500 0.500 Cu
0.585 0.081 0.585 Cu
0.585 0.585 0.081 Cu
0.666 0.666 0.666 Cu
0.919 0.415 0.415 Cu
0.140 0.140 0.140 Au
0.860 0.860 0.860 Au
```

## Properties
Space group: No. 166
Crystal system: trigonal
Energy of formation from the pure elements, eV per atom: -0.038

---

[5]
Compound: HfCuAu2
Source: the Alexandria database
Functional: PBE
Structure: relaxed

Structure (POSCAR):
```
HfCuAu2
1.0
5.698 0.000 0.000
0.000 4.842 0.000
0.000 0.000 10.342
Hf Cu Au
4 4 8
Direct
0.242 0.250 0.136 Hf
0.258 0.750 0.636 Hf
0.742 0.250 0.364 Hf
0.758 0.750 0.864 Hf
0.016 0.750 0.383 Cu
0.484 0.250 0.883 Cu
0.516 0.750 0.117 Cu
0.984 0.250 0.617 Cu
0.006 0.250 0.867 Au
0.228 0.250 0.404 Au
0.272 0.750 0.904 Au
0.494 0.750 0.367 Au
0.506 0.250 0.633 Au
0.728 0.250 0.096 Au
0.772 0.750 0.596 Au
0.994 0.750 0.133 Au
```

## Properties
Space group: No. 62
Crystal system: orthorhombic
Energy of formation from the pure elements, eV per atom: -0.239

---

[6]
Compound: Hf2CuAu2
Source: the Alexandria database
Functional: PBE
Structure: relaxed

Structure (POSCAR):
```
Hf2CuAu2
1.0
3.713 0.000 0.000
0.000 3.713 0.000
0.000 0.000 14.981
Hf Cu Au
4 2 4
Direct
0.000 0.000 0.098 Hf
0.000 0.000 0.902 Hf
0.500 0.500 0.402 Hf
0.500 0.500 0.598 Hf
0.000 0.000 0.500 Cu
0.500 0.500 0.000 Cu
0.000 0.500 0.250 Au
0.000 0.500 0.750 Au
0.500 0.000 0.250 Au
0.500 0.000 0.750 Au
```

## Properties
Space group: No. 139
Crystal system: tetragonal
Energy of formation from the pure elements, eV per atom: 0.189

---

[7]
Compound: Hf2CuAu2
Source: the Alexandria database
Functional: PBE
Structure: relaxed

Structure (POSCAR):
```
Hf2CuAu2
1.0
4.386 0.000 0.000
0.000 4.386 0.000
0.000 0.000 11.605
Hf Cu Au
4 2 4
Direct
0.000 0.500 0.250 Hf
0.000 0.500 0.750 Hf
0.500 0.000 0.250 Hf
0.500 0.000 0.750 Hf
0.000 0.000 0.000 Cu
0.500 0.500 0.500 Cu
0.000 0.000 0.390 Au
0.000 0.000 0.610 Au
0.500 0.500 0.110 Au
0.500 0.500 0.890 Au
```

## Properties
Space group: No. 139
Crystal system: tetragonal
Energy of formation from the pure elements, eV per atom: 0.231

---

[8]
Compound: HfCu2Au
Source: the Alexandria database
Functional: PBE
Structure: relaxed

Structure (POSCAR):
```
HfCu2Au
1.0
4.600 0.000 0.000
0.000 5.838 0.000
0.000 0.000 4.653
Hf Cu Au
2 4 2
Direct
0.250 0.250 0.165 Hf
0.750 0.750 0.835 Hf
0.250 0.505 0.663 Cu
0.250 0.995 0.663 Cu
0.750 0.005 0.337 Cu
0.750 0.495 0.337 Cu
0.250 0.750 0.179 Au
0.750 0.250 0.821 Au
```

## Properties
Space group: No. 59
Crystal system: orthorhombic
Energy of formation from the pure elements, eV per atom: -0.285

---

[9]
Compound: HfCu2Au2
Source: the Alexandria database
Functional: PBE
Structure: relaxed

Structure (POSCAR):
```
HfCu2Au2
1.0
3.576 0.000 0.000
0.000 3.576 0.000
0.000 0.000 13.473
Hf Cu Au
2 4 4
Direct
0.000 0.000 0.000 Hf
0.500 0.500 0.500 Hf
0.000 0.500 0.250 Cu
0.000 0.500 0.750 Cu
0.500 0.000 0.250 Cu
0.500 0.000 0.750 Cu
0.000 0.000 0.396 Au
0.000 0.000 0.604 Au
0.500 0.500 0.104 Au
0.500 0.500 0.896 Au
```

## Properties
Space group: No. 139
Crystal system: tetragonal
Energy of formation from the pure elements, eV per atom: -0.126

---

[10]
Compound: HfCuAu2
Source: the Alexandria database
Functional: PBE
Structure: relaxed

Structure (POSCAR):
```
HfCuAu2
1.0
3.280 0.000 0.000
0.000 3.280 0.000
0.000 0.000 6.458
Hf Cu Au
1 1 2
Direct
0.000 0.000 0.000 Hf
0.000 0.000 0.500 Cu
0.500 0.500 0.272 Au
0.500 0.500 0.728 Au
```

## Properties
Space group: No. 123
Crystal system: tetragonal
Energy of formation from the pure elements, eV per atom: -0.305

---

[11]
Compound: Hf2Cu2Au
Source: the Alexandria database
Functional: PBE
Structure: relaxed

Structure (POSCAR):
```
Hf2Cu2Au
1.0
6.924 0.000 0.000
0.000 6.924 0.000
0.000 0.000 3.543
Hf Cu Au
4 4 2
Direct
0.171 0.329 0.000 Hf
0.329 0.829 0.000 Hf
0.671 0.171 0.000 Hf
0.829 0.671 0.000 Hf
0.126 0.626 0.500 Cu
0.374 0.126 0.500 Cu
0.626 0.874 0.500 Cu
0.874 0.374 0.500 Cu
0.000 0.000 0.500 Au
0.500 0.500 0.500 Au
```

## Properties
Space group: No. 127
Crystal system: tetragonal
Energy of formation from the pure elements, eV per atom: -0.291

---

[12]
Compound: HfCu2Au
Source: the Alexandria database
Functional: PBE
Structure: relaxed

Structure (POSCAR):
```
HfCu2Au
1.0
6.272 0.000 0.000
0.000 6.272 0.000
0.000 0.000 6.272
Hf Cu Au
4 8 4
Direct
0.000 0.000 0.000 Hf
0.000 0.500 0.500 Hf
0.500 0.000 0.500 Hf
0.500 0.500 0.000 Hf
0.250 0.250 0.250 Cu
0.250 0.250 0.750 Cu
0.250 0.750 0.250 Cu
0.250 0.750 0.750 Cu
0.750 0.250 0.250 Cu
0.750 0.250 0.750 Cu
0.750 0.750 0.250 Cu
0.750 0.750 0.750 Cu
0.000 0.000 0.500 Au
0.000 0.500 0.000 Au
0.500 0.000 0.000 Au
0.500 0.500 0.500 Au
```

## Properties
Space group: No. 225
Crystal system: cubic
Energy of formation from the pure elements, eV per atom: -0.244